Entry 1:
Crystalline K2Rb at its relaxed geometry, computed with PBE.

Lattice parameters (Å, degrees): 8.247 14.374 8.262 90.00 107.43 90.00
Fractional positions:
K 0.174 0.163 0.065
K 0.174 0.837 0.065
K 0.174 0.663 0.565
K 0.174 0.337 0.565
K 0.675 0.000 0.058
K 0.675 0.500 0.558
K 0.174 0.000 0.566
K 0.174 0.500 0.066
Rb 0.674 0.333 0.058
Rb 0.674 0.667 0.058
Rb 0.674 0.833 0.558
Rb 0.674 0.167 0.558

Energy of formation from the pure elements ... 1 kJ/mol of formula units
Space-group type ... Cm

Entry 2:
Crystalline Ba4AlFe at its relaxed geometry, computed with PBE.

Lattice parameters (Å, degrees): 7.130 7.130 7.130 60.00 60.00 60.00
Each line ends with the local moment (μB).
Fractional positions:
Ba 0.875 0.375 0.375  -0.04
Ba 0.375 0.375 0.875  -0.04
Ba 0.375 0.875 0.375  -0.04
Ba 0.375 0.375 0.375  -0.04
Al 0.000 0.000 0.000  0.02
Fe 0.750 0.750 0.750  3.24

Energy of formation from the pure elements ... 546 kJ/mol of formula units
Space-group type ... F-43m

Entry 3:
Crystalline Ba2CuPdO4 at its relaxed geometry, computed with PBE.

Lattice parameters (Å, degrees): 5.546 5.546 5.546 106.81 110.82 110.82
Each line ends with the local moment (μB).
Fractional positions:
Ba 0.500 0.750 0.250  0.00
Ba 0.000 0.000 0.000  0.00
Cu 0.000 0.500 0.500  0.41
Pd 0.500 0.250 0.750  0.19
O 0.631 0.460 0.526  0.10
O 0.066 0.171 0.540  0.10
O 0.934 0.474 0.105  0.10
O 0.369 0.895 0.829  0.10

Space-group type ... I-4

Entry 4:
Crystalline SbHIr at its relaxed geometry, computed with PBE.

Lattice parameters (Å, degrees): 4.220 6.969 4.281 70.64 119.53 90.00
Fractional positions:
Sb 0.099 0.238 0.197
Sb 0.901 0.762 0.803
Ir 0.630 0.598 0.260
Ir 0.370 0.402 0.740
H 0.543 0.844 0.086
H 0.457 0.156 0.914

Space-group type ... C2/m

Entry 5:
Crystalline Pm2Pr2DyHo at its relaxed geometry, computed with PBE.

Lattice parameters (Å, degrees): 5.732 7.103 9.932 90.00 90.00 90.00
Fractional positions:
Pm 0.000 0.258 0.836
Pm 0.500 0.258 0.332
Pm 0.000 0.758 0.164
Pm 0.500 0.758 0.668
Pr 0.500 0.008 0.000
Pr 0.000 0.258 0.177
Pr 0.500 0.508 0.000
Pr 0.000 0.758 0.823
Dy 0.500 0.258 0.659
Dy 0.500 0.758 0.341
Ho 0.000 0.008 0.500
Ho 0.000 0.508 0.500

Energy of formation from the pure elements ... 34 kJ/mol of formula units
Space-group type ... Pmma

Entry 6:
Crystalline OsAu3Br at its relaxed geometry, computed with PBE.

Lattice parameters (Å, degrees): 5.076 5.076 5.076 90.00 90.00 90.00
Each line ends with the local moment (μB).
Fractional positions:
Os 0.000 0.000 0.000  1.25
Au 0.000 0.500 0.000  0.09
Au 0.000 0.000 0.500  0.23
Au 0.500 0.000 0.000  0.02
Br 0.500 0.500 0.500  -0.03

Space-group type ... Pm-3m

no.,electronic total energy (eV per cell)
1,-12.61
2,-14.24
3,-43.99
4,-32.34
5,-55.78
6,-16.48